Entry 1:
SrCrRe2Os | GGA-PBE | relaxed

a b c (Å): 4.755 4.755 5.433
angles (deg): 90.00 90.00 90.00
Space group P4/mmm (No. 123)
Symmetry-distinct sites (fractional):
Sr (0.000, 0.000, 0.000) (multiplicity 1)
Cr (0.500, 0.500, 0.000) (multiplicity 1)
Re (0.000, 0.500, 0.500) (multiplicity 2)
Os (0.000, 0.000, 0.500) (multiplicity 1)

Calculated values
The crystal system is tetragonal. Its electronic total energy is -36.2 eV per formula unit.

=====

Entry 2:
TaCr2ReOs | GGA-PBE | relaxed

a b c (Å): 4.437 4.437 4.771
angles (deg): 90.00 90.00 90.00
Space group P4/mmm (No. 123)
Symmetry-distinct sites (fractional):
Ta (0.000, 0.000, 0.000) (multiplicity 1)
Cr (0.000, 0.500, 0.500) (multiplicity 2)
Re (0.500, 0.500, 0.000) (multiplicity 1)
Os (0.500, 0.500, 0.500) (multiplicity 1)

Calculated values
The crystal system is tetragonal. Its electronic total energy is -46.6 eV per formula unit.

=====

Entry 3:
VCrReOs2 | GGA-PBE | relaxed

a b c (Å): 4.417 4.417 4.116
angles (deg): 90.00 90.00 90.00
Space group P4/mmm (No. 123)
Symmetry-distinct sites (fractional):
V (0.000, 0.000, 0.000) (multiplicity 1)
Cr (0.000, 0.000, 0.500) (multiplicity 1)
Re (0.500, 0.500, 0.500) (multiplicity 1)
Os (0.000, 0.500, 0.000) (multiplicity 2)

Calculated values
The crystal system is tetragonal. Its electronic total energy is -45.2 eV per formula unit.

=====

| no. | total magnetic moment (μB/atom) | formation enthalpy at 0 K (kJ/mol of atoms) |
| --- | --- | --- |
| 1 | 0.11 | 216 |
| 2 | 0.64 | 157 |
| 3 | 0.00 | 164 |